The following is a GGA+U calculation of a geometry-optimized Na2HoMoO6 structure, from the Alexandria database. Values from VASP.

```
&SYSTEM
  ibrav = 0, nat = 20, ntyp = 4
/
ATOMIC_SPECIES
O 16.00 O.upf
Ho 164.93 Ho.upf
Na 22.99 Na.upf
Mo 95.94 Mo.upf
CELL_PARAMETERS angstrom
-2.791 -2.814 -4.075
2.499 -4.963 1.715
-6.149 -1.320 5.143
ATOMIC_POSITIONS crystal
O 0.228 0.192 0.460
O 0.272 0.692 0.040
O 0.583 0.025 0.269
O 0.417 0.975 0.731
O 0.811 0.771 0.953
O 0.083 0.475 0.769
O 0.917 0.525 0.231
O 0.728 0.308 0.960
O 0.189 0.229 0.047
O 0.689 0.271 0.547
O 0.772 0.808 0.540
O 0.311 0.729 0.453
Ho 0.500 0.000 0.000
Ho 0.000 0.500 0.500
Na 0.008 0.968 0.252
Na 0.992 0.032 0.748
Na 0.508 0.532 0.752
Na 0.492 0.468 0.248
Mo 0.000 0.500 0.000
Mo 0.500 0.000 0.500
```

Output
- final energy (eV/cell) = -128.513
- M_tot (μB/f.u.) = 1.064